Entry 1:
Density functional theory data (GGA-PBE) for a relaxed Dy5Ho4Sc4 crystal.

Results
As for the raw total energy: -5.083 eV/atom. The energy of formation is 0.044 eV/atom.

The structure in POSCAR format:
```
Dy5Ho4Sc4
1.0
-6.216 6.216 2.441
6.216 -6.216 2.441
6.216 6.216 -2.441
Dy Ho Sc
5 4 4
Direct
0.000 0.000 0.000 Dy
0.308 0.458 0.766 Dy
0.458 0.692 0.150 Dy
0.542 0.308 0.850 Dy
0.692 0.542 0.234 Dy
0.078 0.618 0.696 Ho
0.382 0.078 0.460 Ho
0.618 0.922 0.540 Ho
0.922 0.382 0.304 Ho
0.155 0.232 0.387 Sc
0.232 0.845 0.077 Sc
0.768 0.155 0.923 Sc
0.845 0.768 0.613 Sc
```

Entry 2:
Density functional theory data (GGA-PBE) for a relaxed Pr3N2Cl crystal.

Results
Its offset from the most stable computed form is 0.0 meV per atom. As for the raw total energy: -6.743 eV/atom.

The structure in POSCAR format:
```
Pr3N2Cl
1.0
1.886 -6.691 0.000
1.886 6.691 0.000
0.000 0.000 10.716
Pr N Cl
6 4 2
Direct
0.060 0.940 0.750 Pr
0.381 0.619 0.562 Pr
0.381 0.619 0.938 Pr
0.619 0.381 0.062 Pr
0.619 0.381 0.438 Pr
0.940 0.060 0.250 Pr
0.000 0.000 0.000 N
0.000 0.000 0.500 N
0.457 0.543 0.750 N
0.543 0.457 0.250 N
0.260 0.740 0.250 Cl
0.740 0.260 0.750 Cl
```

Entry 3:
Density functional theory data (GGA-PBE) for a relaxed Li2PmGd crystal.

Results
Its offset from the most stable computed form is 142.4 meV per atom. As for the raw total energy: -5.388 eV/atom. The energy of formation is 0.277 eV/atom.

The structure in POSCAR format:
```
Li2PmGd
1.0
3.355 0.000 0.000
-1.678 2.906 0.000
0.000 0.000 35.914
Li Pm Gd
6 3 3
Direct
0.000 0.000 0.088 Li
0.000 0.000 0.912 Li
0.333 0.667 0.579 Li
0.333 0.667 0.755 Li
0.667 0.333 0.245 Li
0.667 0.333 0.421 Li
0.000 0.000 0.500 Pm
0.333 0.667 0.167 Pm
0.667 0.333 0.833 Pm
0.000 0.000 0.000 Gd
0.333 0.667 0.667 Gd
0.667 0.333 0.333 Gd
```

Entry 4:
Density functional theory data (GGA-PBE) for a relaxed GaCoSbRu crystal.

Results
As for the raw total energy: -5.899 eV/atom.

The structure in POSCAR format:
```
GaCoSbRu
1.0
6.212 0.000 0.000
0.000 6.212 0.000
0.000 0.000 6.212
Ga Co Sb Ru
4 4 4 4
Direct
0.000 0.000 0.000 Ga
0.000 0.500 0.500 Ga
0.500 0.000 0.500 Ga
0.500 0.500 0.000 Ga
0.250 0.250 0.750 Co
0.250 0.750 0.250 Co
0.750 0.250 0.250 Co
0.750 0.750 0.750 Co
0.000 0.000 0.500 Sb
0.000 0.500 0.000 Sb
0.500 0.000 0.000 Sb
0.500 0.500 0.500 Sb
0.250 0.250 0.250 Ru
0.250 0.750 0.750 Ru
0.750 0.250 0.750 Ru
0.750 0.750 0.250 Ru
```

Entry 5:
Density functional theory data (GGA-PBE) for a relaxed ZrBi2Pd crystal.

Results
As for the raw total energy: -5.390 eV/atom. The energy of formation is -0.015 eV/atom.

The structure in POSCAR format:
```
ZrBi2Pd
1.0
7.885 0.000 0.000
0.000 7.885 0.000
0.000 0.000 6.470
Zr Bi Pd
4 8 4
Direct
0.000 0.000 0.000 Zr
0.000 0.500 0.250 Zr
0.500 0.000 0.750 Zr
0.500 0.500 0.500 Zr
0.217 0.250 0.625 Bi
0.250 0.717 0.875 Bi
0.250 0.783 0.375 Bi
0.283 0.250 0.125 Bi
0.717 0.750 0.125 Bi
0.750 0.217 0.375 Bi
0.750 0.283 0.875 Bi
0.783 0.750 0.625 Bi
0.000 0.000 0.500 Pd
0.000 0.500 0.750 Pd
0.500 0.000 0.250 Pd
0.500 0.500 0.000 Pd
```

Entry 6:
Density functional theory data (GGA-PBE) for a relaxed SbOs crystal.

Results
As for the raw total energy: -7.087 eV/atom.

The structure in POSCAR format:
```
SbOs
1.0
10.426 0.000 0.000
0.000 10.426 0.000
0.000 0.000 4.112
Sb Os
8 8
Direct
0.040 0.728 0.000 Sb
0.239 0.353 0.500 Sb
0.272 0.040 0.000 Sb
0.353 0.761 0.500 Sb
0.647 0.239 0.500 Sb
0.728 0.960 0.000 Sb
0.761 0.647 0.500 Sb
0.960 0.272 0.000 Sb
0.125 0.477 0.000 Os
0.167 0.603 0.500 Os
0.397 0.167 0.500 Os
0.477 0.875 0.000 Os
0.523 0.125 0.000 Os
0.603 0.833 0.500 Os
0.833 0.397 0.500 Os
0.875 0.523 0.000 Os
```

Entry 7:
Density functional theory data (GGA-PBE) for a relaxed YCo6B3 crystal.

Results
As for the raw total energy: -7.172 eV/atom. The energy of formation is -0.259 eV/atom.

The structure in POSCAR format:
```
YCo6B3
1.0
4.977 0.000 0.000
2.483 4.396 0.000
2.456 -0.895 4.849
Y Co B
1 6 3
Direct
0.000 0.000 0.000 Y
0.109 0.468 0.787 Co
0.259 0.105 0.398 Co
0.304 0.581 0.312 Co
0.635 0.465 0.785 Co
0.686 0.950 0.672 Co
0.805 0.574 0.313 Co
0.325 0.302 0.047 B
0.586 0.325 0.492 B
0.592 0.765 0.050 B
```

Entry 8:
Density functional theory data (GGA-PBE) for a relaxed AcScSbSe crystal.

Results
As for the raw total energy: -5.714 eV/atom.

The structure in POSCAR format:
```
AcScSbSe
1.0
4.982 0.000 0.000
0.000 4.982 0.000
0.000 0.000 10.204
Ac Sc Sb Se
2 2 2 2
Direct
0.250 0.250 0.165 Ac
0.750 0.750 0.835 Ac
0.250 0.750 0.500 Sc
0.750 0.250 0.500 Sc
0.250 0.250 0.655 Sb
0.750 0.750 0.345 Sb
0.250 0.750 0.000 Se
0.750 0.250 0.000 Se
```

Entry 9:
Density functional theory data (GGA-PBE) for a relaxed Y6PuO12 crystal.

Results
As for the raw total energy: -9.318 eV/atom.

The structure in POSCAR format:
```
Y6PuO12
1.0
4.995 2.884 3.158
-4.995 2.884 3.158
0.000 -5.767 3.158
Y Pu O
6 1 12
Direct
0.110 0.820 0.645 Y
0.180 0.355 0.890 Y
0.355 0.890 0.180 Y
0.645 0.110 0.820 Y
0.820 0.645 0.110 Y
0.890 0.180 0.355 Y
0.500 0.500 0.500 Pu
0.071 0.910 0.323 O
0.090 0.677 0.929 O
0.193 0.424 0.545 O
0.323 0.071 0.910 O
0.424 0.545 0.193 O
0.455 0.807 0.576 O
0.545 0.193 0.424 O
0.576 0.455 0.807 O
0.677 0.929 0.090 O
0.807 0.576 0.455 O
0.910 0.323 0.071 O
0.929 0.090 0.677 O
```

Entry 10:
Density functional theory data (GGA-PBE) for a relaxed Cs4PaTe5 crystal.

Results
Its offset from the most stable computed form is 0.0 meV per atom. As for the raw total energy: -3.808 eV/atom.

The structure in POSCAR format:
```
Cs4PaTe5
1.0
-5.871 5.871 3.883
5.871 -5.871 3.883
5.871 5.871 -3.883
Cs Pa Te
4 1 5
Direct
0.084 0.301 0.385 Cs
0.301 0.916 0.217 Cs
0.699 0.084 0.783 Cs
0.916 0.699 0.615 Cs
0.555 0.555 0.000 Pa
0.259 0.574 0.842 Te
0.417 0.259 0.685 Te
0.574 0.733 0.315 Te
0.733 0.417 0.158 Te
0.928 0.928 0.000 Te
```

Entry 11:
Density functional theory data (GGA-PBE) for a relaxed Mg3ZnNi9P2 crystal.

Results
As for the raw total energy: -4.731 eV/atom. The energy of formation is -0.137 eV/atom.

The structure in POSCAR format:
```
Mg3ZnNi9P2
1.0
5.668 0.000 0.000
-2.834 4.909 0.000
0.000 0.000 8.464
Mg Zn Ni P
3 1 9 2
Direct
0.000 0.000 0.000 Mg
0.333 0.667 0.725 Mg
0.667 0.333 0.275 Mg
0.000 0.000 0.500 Zn
0.000 0.500 0.000 Ni
0.139 0.279 0.262 Ni
0.139 0.861 0.262 Ni
0.279 0.139 0.738 Ni
0.500 0.000 0.000 Ni
0.500 0.500 0.000 Ni
0.721 0.861 0.262 Ni
0.861 0.139 0.738 Ni
0.861 0.721 0.738 Ni
0.333 0.667 0.168 P
0.667 0.333 0.832 P
```

Entry 12:
Density functional theory data (GGA-PBE) for a relaxed ZnFeSb crystal.

Results
Its offset from the most stable computed form is 204.3 meV per atom. As for the raw total energy: -4.316 eV/atom.

The structure in POSCAR format:
```
ZnFeSb
1.0
3.156 0.000 0.000
-1.578 2.734 0.000
0.000 0.000 6.260
Zn Fe Sb
1 1 1
Direct
0.000 0.000 0.000 Zn
0.667 0.333 0.288 Fe
0.333 0.667 0.584 Sb
```